# 1
DFT (PBE-GGA) results for a relaxed structure of AsRh2Se.

The value obtained for the total DFT energy (no corrections) is -47.03 eV per cell. The value obtained for the magnetic moment is 0.0000 μB/atom.

The structure belongs to space group C2/m (No. 12); the cell edges are 7.217, 3.085 and 6.131 Å and the angles 90.00°, 102.10° and 90.00°. The inequivalent atoms are As at (0.000, 0.000, 0.000), Rh at (0.243, 0.500, 0.208) and Se at (0.000, 0.500, 0.500).

# 2
DFT (PBE-GGA) results for a relaxed structure of Ac2HfSbN5.

The value obtained for the total DFT energy (no corrections) is -284.93 eV per cell. The value obtained for the magnetic moment is 0.0000 μB/atom.

The structure belongs to space group Cmc2_1 (No. 36); the cell edges are 3.485, 15.164 and 10.965 Å and the angles 90.00°, 90.00° and 90.00°. The inequivalent atoms are Ac at (0.000, 0.115, 0.000), Ac at (0.000, 0.136, 0.626), Hf at (0.000, 0.219, 0.340), Sb at (0.000, 0.449, 0.769), N at (0.000, 0.051, 0.373), N at (0.000, 0.286, 0.966), N at (0.000, 0.320, 0.705), N at (0.000, 0.351, 0.323) and N at (0.000, 0.494, 0.106).

# 3
DFT (PBE-GGA) results for a relaxed structure of K3Tl7Hg2.

The value obtained for the total DFT energy (no corrections) is -64.67 eV per cell. The value obtained for the magnetic moment is 0.0000 μB/atom.

The structure belongs to space group R-3m (No. 166, hexagonal axes); the cell edges are 6.7527, 6.7527 and 31.1730 Å and the angles 90.00°, 90.00° and 120.00°. The inequivalent atoms are K at (0.0000, 0.0000, 0.0000), K at (0.0000, 0.0000, 0.1411), Tl at (0.0000, 0.0000, 0.5000), Tl at (0.0070, 0.5035, 0.9181) and Hg at (0.0000, 0.0000, 0.3361).

Question: What is the formula in the first record?
Answer: AsRh2Se